(1)
InPb3 at its PBEsol-relaxed geometry. Source: Alexandria, functional meta-GGA SCAN.

Unit cell a=5.451 b=5.451 c=5.451 alpha=60.00 beta=60.00 gamma=60.00
Fractional coordinates of all 4 atoms:
In: 0.000 0.000 0.000
Pb: 0.250 0.250 0.250
Pb: 0.500 0.500 0.500
Pb: 0.750 0.750 0.750

Values from the calculation:
Its uncorrected energy is -260.5 eV/cell. As for the space group: No. 225.

(2)
InPb3 at its PBEsol-relaxed geometry. Source: Alexandria, functional meta-GGA SCAN.

Unit cell a=4.863 b=4.863 c=4.863 alpha=90.00 beta=90.00 gamma=90.00
Fractional coordinates of all 4 atoms:
In: 0.000 0.000 0.000
Pb: 0.000 0.500 0.500
Pb: 0.500 0.000 0.500
Pb: 0.500 0.500 0.000

Values from the calculation:
Its uncorrected energy is -260.6 eV/cell. As for the space group: No. 221.

(3)
InPb at its PBEsol-relaxed geometry. Source: Alexandria, functional meta-GGA SCAN.

Unit cell a=5.383 b=5.383 c=5.383 alpha=60.00 beta=60.00 gamma=60.00
Fractional coordinates of all 4 atoms:
In: 0.125 0.125 0.125
In: 0.875 0.875 0.875
Pb: 0.375 0.375 0.375
Pb: 0.625 0.625 0.625

Values from the calculation:
Its uncorrected energy is -218.1 eV/cell. As for the space group: No. 227.

(4)
InPb at its PBEsol-relaxed geometry. Source: Alexandria, functional meta-GGA SCAN.

Unit cell a=6.014 b=6.014 c=6.014 alpha=134.10 beta=134.10 gamma=66.94
Fractional coordinates of all 4 atoms:
In: 0.375 0.625 0.750
In: 0.625 0.375 0.250
Pb: 0.125 0.875 0.250
Pb: 0.875 0.125 0.750

Values from the calculation:
Its uncorrected energy is -218.1 eV/cell. As for the space group: No. 141.

(5)
InPb3 at its PBEsol-relaxed geometry. Source: Alexandria, functional meta-GGA SCAN.

Unit cell a=6.079 b=6.079 c=3.349 alpha=90.00 beta=90.00 gamma=112.09
Fractional coordinates of all 4 atoms:
In: 0.000 0.000 0.000
Pb: 0.000 0.500 0.500
Pb: 0.500 0.000 0.500
Pb: 0.500 0.500 0.000

Values from the calculation:
Its uncorrected energy is -260.6 eV/cell. As for the space group: No. 65.

(6)
InPb3 at its PBEsol-relaxed geometry. Source: Alexandria, functional meta-GGA SCAN.

Unit cell a=6.168 b=6.168 c=6.168 alpha=90.00 beta=90.00 gamma=90.00
Fractional coordinates of all 8 atoms:
In: 0.000 0.000 0.000
In: 0.500 0.500 0.500
Pb: 0.000 0.250 0.500
Pb: 0.000 0.750 0.500
Pb: 0.250 0.500 0.000
Pb: 0.500 0.000 0.250
Pb: 0.500 0.000 0.750
Pb: 0.750 0.500 0.000

Values from the calculation:
Its uncorrected energy is -520.6 eV/cell. As for the space group: No. 223.

(7)
InPb3 at its PBEsol-relaxed geometry. Source: Alexandria, functional meta-GGA SCAN.

Unit cell a=3.378 b=5.734 c=5.996 alpha=90.00 beta=92.52 gamma=90.00
Fractional coordinates of all 4 atoms:
In: 0.000 0.000 0.000
Pb: 0.236 0.500 0.754
Pb: 0.500 0.000 0.500
Pb: 0.764 0.500 0.246

Values from the calculation:
Its uncorrected energy is -260.5 eV/cell. As for the space group: No. 10.

(8)
InPb3 at its PBEsol-relaxed geometry. Source: Alexandria, functional meta-GGA SCAN.

Unit cell a=3.407 b=4.939 c=6.824 alpha=90.00 beta=90.00 gamma=90.00
Fractional coordinates of all 4 atoms:
In: 0.000 0.000 0.000
Pb: 0.000 0.000 0.500
Pb: 0.500 0.500 0.244
Pb: 0.500 0.500 0.756

Values from the calculation:
Its uncorrected energy is -260.6 eV/cell. As for the space group: No. 47.

(9)
InPb at its PBEsol-relaxed geometry. Source: Alexandria, functional meta-GGA SCAN.

Unit cell a=5.624 b=3.439 c=5.699 alpha=90.00 beta=90.00 gamma=90.00
Fractional coordinates of all 4 atoms:
In: 0.250 0.000 0.181
In: 0.750 0.000 0.819
Pb: 0.250 0.500 0.684
Pb: 0.750 0.500 0.316

Values from the calculation:
Its uncorrected energy is -218.1 eV/cell. As for the space group: No. 51.

(10)
InPb3 at its PBEsol-relaxed geometry. Source: Alexandria, functional meta-GGA SCAN.

Unit cell a=3.465 b=5.869 c=5.996 alpha=100.42 beta=106.53 gamma=90.09
Fractional coordinates of all 4 atoms:
In: 0.000 0.000 0.000
Pb: 0.252 0.754 0.503
Pb: 0.500 0.500 0.000
Pb: 0.748 0.246 0.497

Values from the calculation:
Its uncorrected energy is -260.6 eV/cell. As for the space group: No. 2.

(11)
In2Pb at its PBEsol-relaxed geometry. Source: Alexandria, functional meta-GGA SCAN.

Unit cell a=6.705 b=4.796 c=10.047 alpha=90.00 beta=90.00 gamma=90.00
Fractional coordinates of all 12 atoms:
In: 0.117 0.250 0.247
In: 0.125 0.250 0.914
In: 0.375 0.750 0.414
In: 0.383 0.750 0.747
In: 0.617 0.250 0.253
In: 0.625 0.250 0.586
In: 0.875 0.750 0.086
In: 0.883 0.750 0.753
Pb: 0.133 0.250 0.582
Pb: 0.367 0.750 0.082
Pb: 0.633 0.250 0.918
Pb: 0.867 0.750 0.418

Values from the calculation:
The calculation puts the energy above the most stable polymorph in this dataset at 0.008 eV per atom. Its uncorrected energy is -569.4 eV/cell. As for the space group: No. 62.

(12)
In2Pb at its PBEsol-relaxed geometry. Source: Alexandria, functional meta-GGA SCAN.

Unit cell a=6.138 b=6.138 c=6.138 alpha=60.00 beta=60.00 gamma=60.00
Fractional coordinates of all 6 atoms:
In: 0.000 0.000 0.000
In: 0.000 0.000 0.500
In: 0.000 0.500 0.000
In: 0.500 0.000 0.000
Pb: 0.375 0.375 0.375
Pb: 0.625 0.625 0.625

Values from the calculation:
The calculation puts the energy above the most stable polymorph in this dataset at 0.056 eV per atom. Its uncorrected energy is -284.4 eV/cell. As for the space group: No. 227.

(13)
In2Pb at its PBEsol-relaxed geometry. Source: Alexandria, functional meta-GGA SCAN.

Unit cell a=7.503 b=7.503 c=4.790 alpha=90.00 beta=90.00 gamma=143.28
Fractional coordinates of all 6 atoms:
In: 0.087 0.913 0.750
In: 0.250 0.750 0.250
In: 0.750 0.250 0.750
In: 0.913 0.087 0.250
Pb: 0.415 0.585 0.750
Pb: 0.585 0.415 0.250

Values from the calculation:
The calculation puts the energy above the most stable polymorph in this dataset at 0.012 eV per atom. Its uncorrected energy is -284.7 eV/cell. As for the space group: No. 63.

(14)
InPb at its PBEsol-relaxed geometry. Source: Alexandria, functional meta-GGA SCAN.

Unit cell a=5.963 b=5.963 c=5.661 alpha=103.69 beta=103.69 gamma=34.45
Fractional coordinates of all 4 atoms:
In: 0.130 0.130 0.364
In: 0.870 0.870 0.636
Pb: 0.380 0.380 0.148
Pb: 0.620 0.620 0.852

Values from the calculation:
Its uncorrected energy is -218.1 eV/cell. As for the space group: No. 12.

(15)
InPb at its PBEsol-relaxed geometry. Source: Alexandria, functional meta-GGA SCAN.

Unit cell a=5.247 b=5.247 c=9.804 alpha=90.00 beta=90.00 gamma=120.00
Fractional coordinates of all 8 atoms:
In: 0.000 0.000 0.250
In: 0.000 0.000 0.750
In: 0.333 0.667 0.250
In: 0.667 0.333 0.750
Pb: 0.333 0.667 0.576
Pb: 0.333 0.667 0.924
Pb: 0.667 0.333 0.076
Pb: 0.667 0.333 0.424

Values from the calculation:
Its uncorrected energy is -436.0 eV/cell. As for the space group: No. 194.

(16)
In2Pb at its PBEsol-relaxed geometry. Source: Alexandria, functional meta-GGA SCAN.

Unit cell a=5.469 b=5.469 c=6.292 alpha=90.00 beta=90.00 gamma=120.00
Fractional coordinates of all 6 atoms:
In: 0.000 0.000 0.000
In: 0.000 0.000 0.500
In: 0.333 0.667 0.250
In: 0.667 0.333 0.750
Pb: 0.333 0.667 0.750
Pb: 0.667 0.333 0.250

Values from the calculation:
The calculation puts the energy above the most stable polymorph in this dataset at 0.024 eV per atom. Its uncorrected energy is -284.6 eV/cell. As for the space group: No. 194.

(17)
InPb at its PBEsol-relaxed geometry. Source: Alexandria, functional meta-GGA SCAN.

Unit cell a=4.358 b=4.358 c=4.358 alpha=60.00 beta=60.00 gamma=60.00
Fractional coordinates of all 2 atoms:
In: 0.000 0.000 0.000
Pb: 0.500 0.500 0.500

Values from the calculation:
Its uncorrected energy is -109.0 eV/cell. As for the space group: No. 225.

(18)
In2Pb at its PBEsol-relaxed geometry. Source: Alexandria, functional meta-GGA SCAN.

Unit cell a=3.440 b=3.440 c=7.907 alpha=90.00 beta=90.00 gamma=120.00
Fractional coordinates of all 3 atoms:
In: 0.333 0.667 0.341
In: 0.667 0.333 0.659
Pb: 0.000 0.000 0.000

Values from the calculation:
The calculation puts the energy above the most stable polymorph in this dataset at 0.005 eV per atom. Its uncorrected energy is -142.4 eV/cell. As for the space group: No. 164.

(19)
In8Pb at its PBEsol-relaxed geometry. Source: Alexandria, functional meta-GGA SCAN.

Unit cell a=7.313 b=7.313 c=7.313 alpha=96.43 beta=96.43 gamma=140.89
Fractional coordinates of all 9 atoms:
In: 0.000 0.336 0.336
In: 0.000 0.664 0.664
In: 0.331 0.331 0.662
In: 0.331 0.669 0.000
In: 0.336 0.000 0.336
In: 0.664 0.000 0.664
In: 0.669 0.331 0.000
In: 0.669 0.669 0.338
Pb: 0.000 0.000 0.000

Values from the calculation:
Its uncorrected energy is -342.3 eV/cell. As for the space group: No. 139.

(20)
In2PdRuPb at its PBEsol-relaxed geometry. Source: Alexandria, functional meta-GGA SCAN.

Unit cell a=5.016 b=5.016 c=5.050 alpha=90.00 beta=90.00 gamma=90.00
Fractional coordinates of all 5 atoms:
In: 0.000 0.500 0.000
In: 0.500 0.000 0.000
Pd: 0.000 0.000 0.500
Ru: 0.500 0.500 0.000
Pb: 0.500 0.500 0.500

Values from the calculation:
Its uncorrected energy is -208.3 eV/cell. As for the space group: No. 123.